HoEr5Ag6 after structural relaxation, computed with GGA-PBE.

abc: 5.1278 15.3680 7.1471
angles: 90.00 90.00 90.00
Closest atoms and distances in Å follow each position.
Space group Cmmm (No. 65)
Symmetry-distinct sites (fractional):
Ho 0.0000 0.0000 0.0000 x2  8 Ag 3.13
Er 0.0000 0.0000 0.5000 x2  8 Ag 3.12-3.13
Er 0.0000 0.3332 0.0000 x4  8 Ag 3.12-3.13
Er 0.0000 0.3335 0.5000 x4  8 Ag 3.12
Ag 0.0000 0.1671 0.2507 x8  7 Er 3.12-3.13, 1 Ho 3.13
Ag 0.0000 0.5000 0.2507 x4  6 Er 3.12-3.13, 2 Ho 3.13

* calculated volume: 23.5 Å³ per atom
* ΔE_f: -0.336 eV/atom